# Ce5HgSb3 | the Alexandria database | PBE | relaxed
# crystal system = hexagonal
# total moment = 0.629 μB per atom
# final energy = -99.0 eV for the cell shown
# ΔE_f (raw) = -0.80 eV per atom
data_Ce5HgSb3
_symmetry_space_group_name_H-M 'P 63/m c m'
_symmetry_Int_Tables_number 193
_symmetry_space_group_name_Hall '-P 6c 2'
_cell_length_a 9.4996
_cell_length_b 9.4996
_cell_length_c 6.4682
_cell_angle_alpha 90.00
_cell_angle_beta 90.00
_cell_angle_gamma 120.00
loop_
_atom_site_label
_atom_site_fract_x
_atom_site_fract_y
_atom_site_fract_z
Ce1 0.0000 0.2871 0.2500
Ce2 0.3333 0.6667 0.0000
Hg1 0.0000 0.0000 0.0000
Sb1 0.0000 0.3718 0.7500